Computed, not measured: Lu4Zr2Ni3C3 after structural relaxation at the PBE level of DFT.

Results
The volume comes out at 809 Å³/cell. As for the theoretical density: 8.990 g/cm3. The calculation puts the energy at -332.23 eV per cell.

a = 10.1432 Å, b = 5.8569 Å, c = 14.0102 Å
α = 90.00°, β = 103.70°, γ = 90.00°
Space group C2/c (No. 15)
One atom of each set of equivalent atoms:
1 Lu 0.1157 0.0789 0.0974 x8
2 Lu 0.2154 0.0855 0.4027 x8
3 Zr 0.0523 0.4156 0.9024 x8
4 Ni 0.0000 0.0760 0.2500 x4
5 Ni 0.2424 0.3396 0.2493 x8
6 C 0.0756 0.2735 0.5004 x8
7 C 0.2500 0.2500 0.0000 x4